No. 1
DFT (PBE) results for a relaxed structure of BaPa2CoS8.

Summary:
Raw formation energy   -14.8 eV per formula unit

Lattice parameters (Å, degrees): 5.9175 5.9175 8.5633 90.00 90.00 120.00
Space group P-3m1 (No. 164)
Asymmetric unit:
Ba: 0.0000 0.0000 0.0000
Pa: 0.3333 0.6667 0.3775
Co: 0.0000 0.0000 0.5000
S: 0.1718 0.3435 0.6570
S: 0.3333 0.6667 0.0882


No. 2
DFT (PBE) results for a relaxed structure of BaPa4Co3S12.

Summary:
Raw formation energy   -22.5 eV per formula unit

Lattice parameters (Å, degrees): 9.711 9.711 9.711 90.00 90.00 90.00
Space group Im-3 (No. 204)
Asymmetric unit:
Ba: 0.000 0.000 0.000
Pa: 0.250 0.250 0.250
Co: 0.000 0.000 0.500
S: 0.000 0.161 0.321


No. 3
DFT (PBE) results for a relaxed structure of BaCo3Pb.

Summary:
Energy above the most stable polymorph in this dataset   0.000 eV/f.u.
DFT formation energy   0.97 eV per atom

Lattice parameters (Å, degrees): 5.013 5.013 5.013 90.00 90.00 90.00
Space group Pm-3m (No. 221)
Asymmetric unit:
Ba: 0.000 0.000 0.000
Co: 0.000 0.500 0.500
Pb: 0.500 0.500 0.500


No. 4
DFT (PBE) results for a relaxed structure of BaCoPb3.

Summary:
DFT formation energy   -0.02 eV per atom

Lattice parameters (Å, degrees): 5.301 5.301 5.301 90.00 90.00 90.00
Space group Pm-3m (No. 221)
Asymmetric unit:
Ba: 0.000 0.000 0.000
Co: 0.500 0.500 0.500
Pb: 0.000 0.500 0.500


Please write out number 3 again, unchanged.
DFT (PBE) results for a relaxed structure of BaCo3Pb.

Summary:
Energy above the most stable polymorph in this dataset   0.000 eV/f.u.
DFT formation energy   0.97 eV per atom

Lattice parameters (Å, degrees): 5.013 5.013 5.013 90.00 90.00 90.00
Space group Pm-3m (No. 221)
Asymmetric unit:
Ba: 0.000 0.000 0.000
Co: 0.000 0.500 0.500
Pb: 0.500 0.500 0.500